Tb6CuS5: relaxed, PBE-GGA.

The total magnetic moment is 0.00 Bohr magnetons per cell. The calculation puts the total energy at -6.10 eV per atom. As for the crystal system: monoclinic. Its space group is C2/m (12). For the density, the calculation gives 7.49 g/cm³.

a b c (Å): 6.8423 6.8423 6.8314
angles (deg): 99.64 99.64 120.03
Fractional coordinates of all 12 atoms:
Tb 0.2501 0.2501 0.7494
Tb 0.0820 0.4167 0.2490
Tb 0.9180 0.5833 0.7510
Tb 0.7499 0.7499 0.2506
S 0.3345 0.6655 0.0000
S 0.8310 0.1690 0.5000
S 0.5000 0.5000 0.5000
S 0.6655 0.3345 0.0000
Tb 0.4167 0.0820 0.2490
S 0.1690 0.8310 0.5000
Tb 0.5833 0.9180 0.7510
Cu 0.0000 0.0000 0.0000

EuBeO3: relaxed, PBE-GGA.

The total magnetic moment is 5.00 Bohr magnetons per cell. The calculation puts the total energy at -7.92 eV per atom. As for the crystal system: cubic. Its space group is Pm-3m (221). For the density, the calculation gives 7.25 g/cm³.

a b c (Å): 3.6303 3.6303 3.6303
angles (deg): 90.00 90.00 90.00
Site moments in Bohr magnetons follow the coordinates.
Fractional coordinates of all 5 atoms:
O 0.0000 0.5000 0.5000  -0.41
O 0.5000 0.5000 0.0000  -0.41
O 0.5000 0.0000 0.5000  -0.41
Eu 0.0000 0.0000 0.0000  6.31
Be 0.5000 0.5000 0.5000  0.01